Entry 1:
A plane-wave DFT calculation with PBEsol was carried out for a relaxed YTlP2Se6 crystal.

ΔE_f (raw) in eV per atom: -0.62
Symmetry: P2_1, No. 4

Lattice parameters (Å, degrees): 6.6955 7.4563 10.0590 90.00 90.82 90.00
With the nearest neighbours (Å) after each atom.
Element x y z (fractional)
Y 0.2134 0.0000 0.0017  8 Se 2.93-3.05
Y 0.7866 0.5000 0.9983  8 Se 2.93-3.05
Tl 0.3185 0.2200 0.5094  6 Se 3.19-3.44
Tl 0.6815 0.7200 0.4906  6 Se 3.19-3.44
P 0.1865 0.7278 0.3000  3 Se 2.14-2.25, 1 P 2.24
P 0.3126 0.5060 0.1770  3 Se 2.19-2.24, 1 P 2.24
P 0.6874 0.0060 0.8230  3 Se 2.19-2.24, 1 P 2.24
P 0.8135 0.2278 0.7000  3 Se 2.14-2.25, 1 P 2.24
Se 0.0696 0.3037 0.1733  1 P 2.22
Se 0.0769 0.3108 0.8262  1 P 2.25
Se 0.1476 0.6296 0.4983  1 P 2.14
Se 0.3709 0.6346 0.9802  1 P 2.24
Se 0.4031 0.9420 0.2693  1 P 2.18
Se 0.4046 0.9081 0.7394  1 P 2.19
Se 0.5954 0.4081 0.2606  1 P 2.19
Se 0.5969 0.4420 0.7307  1 P 2.18
Se 0.6291 0.1346 0.0198  1 P 2.24
Se 0.8524 0.1296 0.5017  1 P 2.14
Se 0.9231 0.8108 0.1738  1 P 2.25
Se 0.9304 0.8037 0.8267  1 P 2.22

Entry 2:
A plane-wave DFT calculation with PBEsol was carried out for a relaxed Mn2CoBr crystal.

ΔE_f (raw) in eV per atom: 0.35
E above lowest polymorph in eV per atom: 0.000
Symmetry: P2/m, No. 10
N(E_F) in states/eV/f.u.: 2.6

Lattice parameters (Å, degrees): 3.0486 2.9723 6.9417 90.00 90.09 90.00
With the nearest neighbours (Å) after each atom.
Element x y z (fractional)
Mn 0.0008 0.0000 0.1939  4 Co 2.52, 2 Br 2.59, 1 Mn 2.69
Mn 0.9992 0.0000 0.8061  4 Co 2.52, 2 Br 2.59, 1 Mn 2.69
Co 0.5000 0.5000 0.0000  8 Mn 2.52
Br 0.0000 0.5000 0.5000  4 Mn 2.59

Entry 3:
A plane-wave DFT calculation with PBEsol was carried out for a relaxed Sb2AuSe crystal.

ΔE_f (raw) in eV per atom: 0.15
Symmetry: Immm, No. 71
N(E_F) in states/eV/f.u.: 2.3

Lattice parameters (Å, degrees): 3.7611 5.7769 8.5433 90.00 90.00 90.00
With the nearest neighbours (Å) after each atom.
Element x y z (fractional)
Sb 0.0000 0.0000 0.2422  2 Au 2.80, 2 Se 2.90
Sb 0.0000 0.0000 0.7578  2 Au 2.80, 2 Se 2.90
Sb 0.5000 0.5000 0.2578  2 Au 2.80, 2 Se 2.90
Sb 0.5000 0.5000 0.7422  2 Au 2.80, 2 Se 2.90
Au 0.0000 0.5000 0.5000  4 Sb 2.80
Au 0.5000 0.0000 0.0000  4 Sb 2.80
Se 0.0000 0.5000 0.0000  4 Sb 2.90
Se 0.5000 0.0000 0.5000  4 Sb 2.90

- Which of these has the highest ΔE_f (raw)?
  Mn2CoBr